Material: LiAl3Ag4
Method: DFT, PBE
State: optimized geometry

Calculated values
Space group ... I4/mmm
Energy ... -3.210 eV per atom

a = 7.2969 Å, b = 7.2969 Å, c = 7.2969 Å
α = 144.67°, β = 144.67°, γ = 50.83°
Last column: nearest neighbours and their distance in Å.
Fractional positions:
Li: 0.0000 0.0000 0.0000  8 Ag 2.74
Al: 0.2503 0.2503 0.0000  8 Ag 2.78-2.79
Al: 0.5000 0.5000 0.0000  8 Ag 2.74
Al: 0.7497 0.7497 0.0000  8 Ag 2.78-2.79
Ag: 0.1218 0.6218 0.5000  2 Li 2.74, 6 Al 2.74-2.79
Ag: 0.3782 0.8782 0.5000  2 Li 2.74, 6 Al 2.74-2.79
Ag: 0.6218 0.1218 0.5000  2 Li 2.74, 6 Al 2.74-2.79
Ag: 0.8782 0.3782 0.5000  2 Li 2.74, 6 Al 2.74-2.79

=====

Material: TlIn11
Method: DFT, PBE
State: optimized geometry

Calculated values
Space group ... P6/mmm
Energy ... -2.696 eV per atom

a = 10.9409 Å, b = 10.9409 Å, c = 3.2013 Å
α = 90.00°, β = 90.00°, γ = 120.00°
Last column: nearest neighbours and their distance in Å.
Fractional positions:
Tl: 0.0000 0.0000 0.0000  2 Tl 3.20
In: 0.0000 0.5000 0.0000  12 In 3.16-3.50
In: 0.1721 0.3441 0.5000  10 In 3.20-3.50
In: 0.1721 0.8279 0.5000  10 In 3.20-3.50
In: 0.3333 0.6667 0.0000  11 In 3.16-3.45
In: 0.3441 0.1721 0.5000  10 In 3.20-3.50
In: 0.5000 0.0000 0.0000  12 In 3.16-3.50
In: 0.5000 0.5000 0.0000  12 In 3.16-3.50
In: 0.6559 0.8279 0.5000  10 In 3.20-3.50
In: 0.6667 0.3333 0.0000  11 In 3.16-3.45
In: 0.8279 0.1721 0.5000  10 In 3.20-3.50
In: 0.8279 0.6559 0.5000  10 In 3.20-3.50

=====

Respective energy of formation values: -0.141 0.011 eV per atom.